Entry 1:
First-principles (PBE-GGA) data for an optimized crystal structure of MgScAs2Rh5, as listed in Alexandria via LeMat-Bulk.

E = -0.240 hartree per atom
magnetization = 0.00 μB per formula unit
energy of formation = -532 meV/atom

Geometry as CIF:
```
data_MgScAs2Rh5
_chemical_formula_sum 'Mg1 Sc1 As2 Rh5'
_cell_length_a 4.1477
_cell_length_b 4.1477
_cell_length_c 8.4527
_cell_angle_alpha 90.00
_cell_angle_beta 90.00
_cell_angle_gamma 90.00
_space_group_name_H-M_alt 'P 4/m m m'
_space_group_IT_number 123
_space_group_name_Hall '-P 4 2'
loop_
_atom_site_label
_atom_site_type_symbol
_atom_site_fract_x
_atom_site_fract_y
_atom_site_fract_z
Mg1 Mg 0.0000 0.0000 0.0000
Sc1 Sc 0.0000 0.0000 0.5000
As1 As 0.5000 0.5000 0.3563
Rh1 Rh 0.0000 0.5000 0.2211
Rh2 Rh 0.5000 0.5000 0.0000
```


Entry 2:
First-principles (PBE-GGA) data for an optimized crystal structure of Sr2AgPb, as listed in Alexandria via LeMat-Bulk.

E = -0.096 hartree per atom
magnetization = 0.00 μB per formula unit
energy of formation = -144 meV/atom

Geometry as CIF:
```
data_Sr2AgPb
_chemical_formula_sum 'Sr8 Ag4 Pb4'
_cell_length_a 7.9417
_cell_length_b 7.9417
_cell_length_c 7.9417
_cell_angle_alpha 90.00
_cell_angle_beta 90.00
_cell_angle_gamma 90.00
_space_group_name_H-M_alt 'F -4 3 m'
_space_group_IT_number 216
_space_group_name_Hall 'F -4 2 3'
loop_
_atom_site_label
_atom_site_type_symbol
_atom_site_fract_x
_atom_site_fract_y
_atom_site_fract_z
Sr1 Sr 0.0000 0.0000 0.0000
Sr2 Sr 0.2500 0.2500 0.2500
Ag1 Ag 0.0000 0.0000 0.5000
Pb1 Pb 0.2500 0.2500 0.7500
```


Entry 3:
First-principles (PBE-GGA) data for an optimized crystal structure of LiSmSnTe3, as listed in Alexandria via LeMat-Bulk.

E = -0.156 hartree per atom
magnetization = 0.00 μB per formula unit
formation energy (no corrections) = -0.90 eV/atom

Geometry as CIF:
```
data_LiSmSnTe3
_chemical_formula_sum 'Li2 Sm2 Sn2 Te6'
_cell_length_a 9.2412
_cell_length_b 4.2860
_cell_length_c 9.7263
_cell_angle_alpha 90.00
_cell_angle_beta 102.08
_cell_angle_gamma 90.00
_space_group_name_H-M_alt 'P 1 21/m 1'
_space_group_IT_number 11
_space_group_name_Hall '-P 2yb'
loop_
_atom_site_label
_atom_site_type_symbol
_atom_site_fract_x
_atom_site_fract_y
_atom_site_fract_z
Li1 Li 0.0899 0.2500 0.0894
Sm1 Sm 0.1739 0.2500 0.7287
Sn1 Sn 0.3360 0.7500 0.3387
Te1 Te 0.0905 0.2500 0.3800
Te2 Te 0.2183 0.7500 0.9799
Te3 Te 0.4081 0.7500 0.6596
```


Entry 4:
First-principles (PBE-GGA) data for an optimized crystal structure of NiSnMo2H, as listed in Alexandria via LeMat-Bulk.

E = -0.251 hartree per atom
magnetization = 0.00 μB per formula unit

Geometry as CIF:
```
data_NiSnMo2H
_chemical_formula_sum 'Ni1 Sn1 Mo2 H1'
_cell_length_a 3.9160
_cell_length_b 3.9160
_cell_length_c 4.2918
_cell_angle_alpha 90.00
_cell_angle_beta 90.00
_cell_angle_gamma 90.00
_space_group_name_H-M_alt 'P 4/m m m'
_space_group_IT_number 123
_space_group_name_Hall '-P 4 2'
loop_
_atom_site_label
_atom_site_type_symbol
_atom_site_fract_x
_atom_site_fract_y
_atom_site_fract_z
Ni1 Ni 0.0000 0.0000 0.0000
Sn1 Sn 0.5000 0.5000 0.0000
Mo1 Mo 0.0000 0.5000 0.5000
H1 H 0.0000 0.0000 0.5000
```


Entry 5:
First-principles (PBE-GGA) data for an optimized crystal structure of Pm8Pr3Er4, as listed in Alexandria via LeMat-Bulk.

E = -0.161 hartree per atom
magnetization = 0.01 μB per formula unit
energy of formation = 337 meV/atom

Geometry as CIF:
```
data_Pm8Pr3Er4
_chemical_formula_sum 'Pm16 Pr6 Er8'
_cell_length_a 13.8362
_cell_length_b 12.2876
_cell_length_c 6.8939
_cell_angle_alpha 90.00
_cell_angle_beta 118.13
_cell_angle_gamma 90.00
_space_group_name_H-M_alt 'C 1 2/m 1'
_space_group_IT_number 12
_space_group_name_Hall '-C 2y'
loop_
_atom_site_label
_atom_site_type_symbol
_atom_site_fract_x
_atom_site_fract_y
_atom_site_fract_z
Pm1 Pm 0.0000 0.2057 0.0000
Pm2 Pm 0.0000 0.2534 0.5000
Pm3 Pm 0.2032 0.0000 0.1718
Pm4 Pm 0.2439 0.5000 0.2987
Pr1 Pr 0.0000 0.0000 0.5000
Pr2 Pr 0.2500 0.2500 0.0000
Er1 Er 0.0000 0.5000 0.0000
Er2 Er 0.0000 0.5000 0.5000
Er3 Er 0.2500 0.2500 0.5000
```


Entry 6:
First-principles (PBE-GGA) data for an optimized crystal structure of CrReB2, as listed in Alexandria via LeMat-Bulk.

E = -0.292 hartree per atom
E above lowest polymorph = 0.711 eV/atom
magnetization = 0.00 μB per formula unit
energy of formation = 919 meV/atom

Geometry as CIF:
```
data_CrReB2
_chemical_formula_sum 'Cr4 Re4 B8'
_cell_length_a 4.6589
_cell_length_b 4.6589
_cell_length_c 9.3463
_cell_angle_alpha 90.00
_cell_angle_beta 90.00
_cell_angle_gamma 90.00
_space_group_name_H-M_alt 'I -4 2 d'
_space_group_IT_number 122
_space_group_name_Hall 'I -4 2bw'
loop_
_atom_site_label
_atom_site_type_symbol
_atom_site_fract_x
_atom_site_fract_y
_atom_site_fract_z
Cr1 Cr 0.0000 0.0000 0.0000
Re1 Re 0.0000 0.0000 0.5000
B1 B 0.2411 0.2500 0.1250
```


Entry 7:
First-principles (PBE-GGA) data for an optimized crystal structure of MnZn2Cu8, as listed in Alexandria via LeMat-Bulk.

E = -0.144 hartree per atom
E above lowest polymorph = 0.149 eV/atom
magnetization = 3.98 μB per formula unit
energy of formation = 133 meV/atom

Geometry as CIF:
```
data_MnZn2Cu8
_chemical_formula_sum 'Mn2 Zn4 Cu16'
_cell_length_a 6.7806
_cell_length_b 11.7126
_cell_length_c 4.4176
_cell_angle_alpha 90.00
_cell_angle_beta 123.56
_cell_angle_gamma 90.00
_space_group_name_H-M_alt 'C 1 2/m 1'
_space_group_IT_number 12
_space_group_name_Hall '-C 2y'
loop_
_atom_site_label
_atom_site_type_symbol
_atom_site_fract_x
_atom_site_fract_y
_atom_site_fract_z
Mn1 Mn 0.0000 0.0000 0.0000
Zn1 Zn 0.0000 0.3099 0.5000
Cu1 Cu 0.0000 0.2124 0.0000
Cu2 Cu 0.0731 0.5000 0.8075
Cu3 Cu 0.2110 0.1163 0.6486
```


Entry 8:
First-principles (PBE-GGA) data for an optimized crystal structure of LiLaY2S4, as listed in Alexandria via LeMat-Bulk.

E = -0.236 hartree per atom
magnetization = 0.00 μB per formula unit
formation energy (no corrections) = -1.89 eV/atom

Geometry as CIF:
```
data_LiLaY2S4
_chemical_formula_sum 'Li4 La4 Y8 S16'
_cell_length_a 3.9154
_cell_length_b 13.1188
_cell_length_c 13.5339
_cell_angle_alpha 90.00
_cell_angle_beta 90.00
_cell_angle_gamma 90.00
_space_group_name_H-M_alt 'C m c m'
_space_group_IT_number 63
_space_group_name_Hall '-C 2c 2'
loop_
_atom_site_label
_atom_site_type_symbol
_atom_site_fract_x
_atom_site_fract_y
_atom_site_fract_z
Li1 Li 0.0000 0.1458 0.2500
La1 La 0.0000 0.1213 0.7500
Y1 Y 0.0000 0.3674 0.5568
S1 S 0.0000 0.0000 0.0000
S2 S 0.0000 0.2702 0.1230
S3 S 0.0000 0.4545 0.7500
```


Entry 9:
First-principles (PBE-GGA) data for an optimized crystal structure of MgBe2Al, as listed in Alexandria via LeMat-Bulk.

E = -0.105 hartree per atom
E above lowest polymorph = 0.280 eV/atom
magnetization = 0.00 μB per formula unit
energy of formation = 329 meV/atom

Geometry as CIF:
```
data_MgBe2Al
_chemical_formula_sum 'Mg1 Be2 Al1'
_cell_length_a 4.1586
_cell_length_b 4.1586
_cell_length_c 3.0830
_cell_angle_alpha 90.00
_cell_angle_beta 90.00
_cell_angle_gamma 90.00
_space_group_name_H-M_alt 'P 4/m m m'
_space_group_IT_number 123
_space_group_name_Hall '-P 4 2'
loop_
_atom_site_label
_atom_site_type_symbol
_atom_site_fract_x
_atom_site_fract_y
_atom_site_fract_z
Mg1 Mg 0.0000 0.0000 0.0000
Be1 Be 0.0000 0.5000 0.5000
Al1 Al 0.5000 0.5000 0.0000
```


Entry 10:
First-principles (PBE-GGA) data for an optimized crystal structure of KPa2PdS5, as listed in Alexandria via LeMat-Bulk.

E = -0.239 hartree per atom
magnetization = 0.94 μB per formula unit
formation energy (no corrections) = -1.40 eV/atom

Geometry as CIF:
```
data_KPa2PdS5
_chemical_formula_sum 'K4 Pa8 Pd4 S20'
_cell_length_a 7.6404
_cell_length_b 7.6404
_cell_length_c 13.9040
_cell_angle_alpha 90.00
_cell_angle_beta 90.00
_cell_angle_gamma 90.00
_space_group_name_H-M_alt 'I 4/m c m'
_space_group_IT_number 140
_space_group_name_Hall '-I 4 2c'
loop_
_atom_site_label
_atom_site_type_symbol
_atom_site_fract_x
_atom_site_fract_y
_atom_site_fract_z
K1 K 0.0000 0.0000 0.2500
Pa1 Pa 0.1594 0.3406 0.0000
Pd1 Pd 0.0000 0.5000 0.2500
S1 S 0.0000 0.0000 0.0000
S2 S 0.1468 0.3532 0.3808
```


Entry 11:
First-principles (PBE-GGA) data for an optimized crystal structure of Tm5Te4C, as listed in Alexandria via LeMat-Bulk.

E = -0.201 hartree per atom
magnetization = 0.00 μB per formula unit
formation energy (no corrections) = -1.06 eV/atom

Geometry as CIF:
```
data_Tm5Te4C
_chemical_formula_sum 'Tm10 Te8 C2'
_cell_length_a 9.3627
_cell_length_b 9.3627
_cell_length_c 5.9127
_cell_angle_alpha 90.00
_cell_angle_beta 90.00
_cell_angle_gamma 90.00
_space_group_name_H-M_alt 'I 4'
_space_group_IT_number 79
_space_group_name_Hall 'I 4'
loop_
_atom_site_label
_atom_site_type_symbol
_atom_site_fract_x
_atom_site_fract_y
_atom_site_fract_z
Tm1 Tm 0.0000 0.0000 0.0000
Tm2 Tm 0.0907 0.7588 0.5462
Te1 Te 0.0859 0.6895 0.0452
C1 C 0.0000 0.0000 0.5708
```